# 1
A crystal of KBe3N relaxed with PBEsol, computed with meta-GGA SCAN.

a = 4.021 Å, b = 4.021 Å, c = 4.021 Å
α = 90.00°, β = 90.00°, γ = 90.00°
Atoms (fractional coordinates):
1 Be 0.000 0.500 0.000
2 Be 0.000 0.000 0.500
3 Be 0.500 0.000 0.000
4 K 0.500 0.500 0.500
5 N 0.000 0.000 0.000

Summary:
density	2.0	g/cm3
calculated total energy	-4.98	eV/atom



# 2
A crystal of KBeN2O relaxed with PBEsol, computed with meta-GGA SCAN.

a = 3.572 Å, b = 3.572 Å, c = 4.206 Å
α = 90.00°, β = 90.00°, γ = 90.00°
Atoms (fractional coordinates):
1 Be 0.000 0.000 0.000
2 K 0.500 0.500 0.500
3 O 0.000 0.000 0.500
4 N 0.000 0.500 0.000
5 N 0.500 0.000 0.000

Summary:
density	2.8	g/cm3
calculated total energy	-6.92	eV/atom



# 3
A crystal of KBeTeN2 relaxed with PBEsol, computed with meta-GGA SCAN.

a = 4.622 Å, b = 4.622 Å, c = 6.728 Å
α = 90.00°, β = 90.00°, γ = 90.00°
Atoms (fractional coordinates):
1 Be 0.500 0.500 0.500
2 K 0.000 0.000 0.000
3 Te 0.000 0.000 0.500
4 N 0.000 0.500 0.000
5 N 0.500 0.000 0.000

Summary:
density	2.4	g/cm3
calculated total energy	-11.50	eV/atom



# 4
A crystal of KYBeN2 relaxed with PBEsol, computed with meta-GGA SCAN.

a = 4.396 Å, b = 4.396 Å, c = 6.188 Å
α = 90.00°, β = 90.00°, γ = 90.00°
Atoms (fractional coordinates):
1 Y 0.000 0.000 0.000
2 Be 0.500 0.500 0.500
3 K 0.000 0.000 0.500
4 N 0.000 0.500 0.000
5 N 0.500 0.000 0.000

Summary:
density	2.3	g/cm3
calculated total energy	-10.64	eV/atom



# 5
A crystal of KBe2Nb relaxed with PBEsol, computed with meta-GGA SCAN.

a = 5.974 Å, b = 5.974 Å, c = 5.974 Å
α = 107.01°, β = 107.01°, γ = 114.52°
Atoms (fractional coordinates):
1 Be 0.930 0.875 0.555
2 Be 0.320 0.375 0.445
3 Be 0.125 0.680 0.055
4 Be 0.625 0.070 0.945
5 Nb 0.000 0.000 0.000
6 Nb 0.250 0.750 0.500
7 K 0.500 0.500 0.000
8 K 0.750 0.250 0.500

Summary:
density	3.1	g/cm3
calculated total energy	-11.12	eV/atom



# 6
A crystal of KBeNi relaxed with PBEsol, computed with meta-GGA SCAN.

a = 4.643 Å, b = 4.643 Å, c = 4.643 Å
α = 60.00°, β = 60.00°, γ = 60.00°
Atoms (fractional coordinates):
1 Ni 0.000 0.000 0.000
2 K 0.250 0.250 0.250
3 Be 0.500 0.500 0.500

Summary:
energy relative to the lowest polymorph listed for this composition	204.9	kJ/mol of formula units
density	2.5	g/cm3



# 7
A crystal of KBeNi3 relaxed with PBEsol, computed with meta-GGA SCAN.

a = 4.332 Å, b = 4.332 Å, c = 4.332 Å
α = 90.00°, β = 90.00°, γ = 90.00°
Atoms (fractional coordinates):
1 Ni 0.000 0.500 0.000
2 Ni 0.000 0.000 0.500
3 Ni 0.500 0.000 0.000
4 K 0.000 0.000 0.000
5 Be 0.500 0.500 0.500

Summary:
density	4.6	g/cm3
calculated total energy	-9.79	eV/atom



# 8
A crystal of KBeNi relaxed with PBEsol, computed with meta-GGA SCAN.

a = 4.415 Å, b = 4.415 Å, c = 4.415 Å
α = 60.00°, β = 60.00°, γ = 60.00°
Atoms (fractional coordinates):
1 Ni 0.500 0.500 0.500
2 K 0.000 0.000 0.000
3 Be 0.250 0.250 0.250

Summary:
energy relative to the lowest polymorph listed for this composition	19.1	kJ/mol of formula units
density	2.9	g/cm3



# 9
A crystal of KBeNi relaxed with PBEsol, computed with meta-GGA SCAN.

a = 4.413 Å, b = 4.413 Å, c = 4.413 Å
α = 60.00°, β = 60.00°, γ = 60.00°
Atoms (fractional coordinates):
1 Ni 0.250 0.250 0.250
2 K 0.500 0.500 0.500
3 Be 0.000 0.000 0.000

Summary:
energy relative to the lowest polymorph listed for this composition	0.0	kJ/mol of formula units
density	2.9	g/cm3



# 10
A crystal of KBe3O relaxed with PBEsol, computed with meta-GGA SCAN.

a = 4.133 Å, b = 4.133 Å, c = 4.133 Å
α = 90.00°, β = 90.00°, γ = 90.00°
Atoms (fractional coordinates):
1 Be 0.000 0.500 0.000
2 Be 0.000 0.000 0.500
3 Be 0.500 0.000 0.000
4 K 0.500 0.500 0.500
5 O 0.000 0.000 0.000

Summary:
density	1.9	g/cm3
calculated total energy	-4.67	eV/atom



# 11
A crystal of KBeO3 relaxed with PBEsol, computed with meta-GGA SCAN.

a = 4.122 Å, b = 4.122 Å, c = 4.122 Å
α = 90.00°, β = 90.00°, γ = 90.00°
Atoms (fractional coordinates):
1 Be 0.500 0.500 0.500
2 K 0.000 0.000 0.000
3 O 0.000 0.500 0.000
4 O 0.000 0.000 0.500
5 O 0.500 0.000 0.000

Summary:
density	2.3	g/cm3
calculated total energy	-4.77	eV/atom



# 12
A crystal of K2Be2O3 relaxed with PBEsol, computed with meta-GGA SCAN.

a = 4.932 Å, b = 6.060 Å, c = 7.981 Å
α = 90.00°, β = 90.00°, γ = 111.12°
Atoms (fractional coordinates):
1 K 0.290 0.075 0.352
2 K 0.790 0.575 0.148
3 K 0.210 0.425 0.852
4 K 0.710 0.925 0.648
5 Be 0.799 0.495 0.512
6 Be 0.701 0.005 0.012
7 Be 0.299 0.995 0.988
8 Be 0.201 0.505 0.488
9 O 0.500 0.500 0.500
10 O 0.000 0.000 0.000
11 O 0.592 0.204 0.947
12 O 0.908 0.296 0.447
13 O 0.092 0.704 0.553
14 O 0.408 0.796 0.053

Summary:
density	2.2	g/cm3
calculated total energy	-8.58	eV/atom



# 13
A crystal of KBeP3O9 relaxed with PBEsol, computed with meta-GGA SCAN.

a = 7.877 Å, b = 8.663 Å, c = 11.455 Å
α = 90.00°, β = 90.00°, γ = 90.00°
Atoms (fractional coordinates):
1 Be 0.680 0.290 0.371
2 Be 0.820 0.710 0.871
3 Be 0.320 0.790 0.129
4 Be 0.180 0.210 0.629
5 K 0.004 0.297 0.932
6 K 0.496 0.703 0.432
7 K 0.996 0.797 0.568
8 K 0.504 0.203 0.068
9 O 0.760 0.755 0.001
10 O 0.740 0.245 0.501
11 O 0.240 0.255 0.499
12 O 0.260 0.745 0.999
13 O 0.986 0.145 0.628
14 O 0.514 0.855 0.128
15 O 0.014 0.645 0.872
16 O 0.486 0.355 0.372
17 O 0.204 0.851 0.797
18 O 0.296 0.149 0.297
19 O 0.796 0.351 0.703
20 O 0.704 0.649 0.203
21 O 0.703 0.573 0.821
22 O 0.797 0.427 0.321
23 O 0.297 0.073 0.679
24 O 0.203 0.927 0.179
25 O 0.715 0.601 0.596
26 O 0.785 0.399 0.096
27 O 0.285 0.101 0.904
28 O 0.215 0.899 0.404
29 O 0.496 0.426 0.698
30 O 0.004 0.574 0.198
31 O 0.504 0.926 0.802
32 O 0.996 0.074 0.302
33 O 0.690 0.138 0.288
34 O 0.810 0.862 0.788
35 O 0.310 0.638 0.212
36 O 0.190 0.362 0.712
37 O 0.280 0.613 0.606
38 O 0.220 0.387 0.106
39 O 0.720 0.113 0.894
40 O 0.780 0.887 0.394
41 O 0.185 0.419 0.327
42 O 0.315 0.581 0.827
43 O 0.815 0.919 0.173
44 O 0.685 0.081 0.673
45 P 0.308 0.293 0.382
46 P 0.192 0.707 0.882
47 P 0.692 0.793 0.118
48 P 0.808 0.207 0.618
49 P 0.819 0.494 0.201
50 P 0.681 0.506 0.701
51 P 0.181 0.994 0.299
52 P 0.319 0.006 0.799
53 P 0.192 0.501 0.200
54 P 0.308 0.499 0.700
55 P 0.808 0.001 0.300
56 P 0.692 0.999 0.800

Summary:
density	2.4	g/cm3
calculated total energy	-9.69	eV/atom



# 14
A crystal of K7Be12P12O48 relaxed with PBEsol, computed with meta-GGA SCAN.

a = 11.715 Å, b = 11.715 Å, c = 11.715 Å
α = 109.47°, β = 109.47°, γ = 109.47°
Atoms (fractional coordinates):
1 K 0.000 0.500 0.500
2 K 0.500 0.500 0.000
3 K 0.500 0.000 0.500
4 K 0.402 0.000 0.000
5 K 0.000 0.000 0.402
6 K 0.598 0.598 0.598
7 K 0.000 0.402 0.000
8 Be 0.303 0.711 0.150
9 Be 0.153 0.850 0.561
10 Be 0.592 0.439 0.289
11 Be 0.439 0.289 0.592
12 Be 0.711 0.150 0.303
13 Be 0.850 0.561 0.153
14 Be 0.697 0.847 0.408
15 Be 0.847 0.408 0.697
16 Be 0.408 0.697 0.847
17 Be 0.561 0.153 0.850
18 Be 0.289 0.592 0.439
19 Be 0.150 0.303 0.711
20 P 0.562 0.850 0.153
21 P 0.409 0.847 0.697
22 P 0.712 0.303 0.150
23 P 0.303 0.150 0.712
24 P 0.850 0.153 0.562
25 P 0.847 0.697 0.409
26 P 0.438 0.591 0.288
27 P 0.591 0.288 0.438
28 P 0.288 0.438 0.591
29 P 0.697 0.409 0.847
30 P 0.150 0.712 0.303
31 P 0.153 0.562 0.850
32 O 0.663 0.827 0.254
33 O 0.410 0.746 0.573
34 O 0.837 0.427 0.173
35 O 0.427 0.173 0.837
36 O 0.827 0.254 0.663
37 O 0.746 0.573 0.410
38 O 0.337 0.590 0.163
39 O 0.590 0.163 0.337
40 O 0.163 0.337 0.590
41 O 0.573 0.410 0.746
42 O 0.173 0.837 0.427
43 O 0.254 0.663 0.827
44 O 0.509 0.737 0.004
45 O 0.504 0.996 0.732
46 O 0.772 0.268 0.263
47 O 0.268 0.263 0.772
48 O 0.737 0.004 0.509
49 O 0.996 0.732 0.504
50 O 0.491 0.496 0.228
51 O 0.496 0.228 0.491
52 O 0.228 0.491 0.496
53 O 0.732 0.504 0.996
54 O 0.263 0.772 0.268
55 O 0.004 0.509 0.737
56 O 0.638 0.996 0.172
57 O 0.466 0.828 0.824
58 O 0.642 0.176 0.004
59 O 0.176 0.004 0.642
60 O 0.996 0.172 0.638
61 O 0.828 0.824 0.466
62 O 0.362 0.534 0.358
63 O 0.534 0.358 0.362
64 O 0.358 0.362 0.534
65 O 0.824 0.466 0.828
66 O 0.004 0.642 0.176
67 O 0.172 0.638 0.996
68 O 0.438 0.838 0.177
69 O 0.261 0.823 0.661
70 O 0.600 0.339 0.162
71 O 0.339 0.162 0.600
72 O 0.838 0.177 0.438
73 O 0.823 0.661 0.261
74 O 0.562 0.739 0.400
75 O 0.739 0.400 0.562
76 O 0.400 0.562 0.739
77 O 0.661 0.261 0.823
78 O 0.162 0.600 0.339
79 O 0.177 0.438 0.838

Summary:
density	2.0	g/cm3
calculated total energy	-9.34	eV/atom



# 15
A crystal of K2Be2Si6O15 relaxed with PBEsol, computed with meta-GGA SCAN.

a = 7.535 Å, b = 8.628 Å, c = 11.496 Å
α = 90.00°, β = 90.00°, γ = 115.89°
Atoms (fractional coordinates):
1 Be 0.229 0.761 0.756
2 Be 0.771 0.239 0.256
3 Be 0.468 0.239 0.256
4 Be 0.532 0.761 0.756
5 K 0.818 0.635 0.621
6 K 0.182 0.365 0.121
7 K 0.898 0.795 0.903
8 K 0.102 0.205 0.403
9 O 0.878 0.396 0.973
10 O 0.122 0.604 0.473
11 O 0.482 0.604 0.473
12 O 0.518 0.396 0.973
13 O 0.869 0.253 0.768
14 O 0.131 0.747 0.268
15 O 0.616 0.747 0.268
16 O 0.384 0.253 0.768
17 O 0.753 0.149 0.554
18 O 0.247 0.851 0.054
19 O 0.604 0.851 0.054
20 O 0.396 0.149 0.554
21 O 0.032 0.596 0.791
22 O 0.968 0.404 0.291
23 O 0.436 0.404 0.291
24 O 0.564 0.596 0.791
25 O 0.179 0.915 0.720
26 O 0.821 0.085 0.220
27 O 0.264 0.085 0.220
28 O 0.736 0.915 0.720
29 O 0.203 0.406 0.888
30 O 0.797 0.594 0.388
31 O 0.403 0.806 0.857
32 O 0.597 0.194 0.357
33 O 0.072 0.144 0.629
34 O 0.928 0.856 0.129
35 O 0.356 0.712 0.657
36 O 0.644 0.288 0.157
37 O 0.446 0.892 0.458
38 O 0.554 0.108 0.958
39 Si 0.999 0.418 0.850
40 Si 0.001 0.582 0.350
41 Si 0.581 0.582 0.350
42 Si 0.419 0.418 0.850
43 Si 0.849 0.107 0.672
44 Si 0.151 0.893 0.172
45 Si 0.742 0.893 0.172
46 Si 0.258 0.107 0.672
47 Si 0.352 0.703 0.517
48 Si 0.648 0.297 0.017
49 Si 0.451 0.903 0.981
50 Si 0.549 0.097 0.481

Summary:
density	2.5	g/cm3
calculated total energy	-10.14	eV/atom



# 16
A crystal of K2Be2Zn2Si3O11 relaxed with PBEsol, computed with meta-GGA SCAN.

a = 6.768 Å, b = 9.538 Å, c = 9.538 Å
α = 60.87°, β = 69.22°, γ = 69.22°
Atoms (fractional coordinates):
1 K 0.863 0.887 0.387
2 K 0.551 0.699 0.199
3 K 0.137 0.113 0.613
4 K 0.449 0.301 0.801
5 Be 0.174 0.500 0.500
6 Be 0.826 0.000 0.000
7 Be 0.826 0.500 0.500
8 Be 0.174 0.000 0.000
9 Zn 0.000 0.350 0.150
10 Zn 0.500 0.650 0.850
11 Zn 0.500 0.350 0.150
12 Zn 0.000 0.650 0.850
13 Si 0.634 0.275 0.456
14 Si 0.634 0.956 0.775
15 Si 0.366 0.725 0.544
16 Si 0.902 0.348 0.848
17 Si 0.098 0.652 0.152
18 Si 0.366 0.044 0.225
19 O 0.036 0.575 0.353
20 O 0.036 0.853 0.075
21 O 0.379 0.355 0.488
22 O 0.324 0.926 0.426
23 O 0.725 0.766 0.785
24 O 0.676 0.074 0.574
25 O 0.962 0.589 0.089
26 O 0.725 0.285 0.266
27 O 0.275 0.715 0.734
28 O 0.621 0.012 0.145
29 O 0.221 0.012 0.145
30 O 0.964 0.425 0.647
31 O 0.779 0.355 0.488
32 O 0.779 0.988 0.855
33 O 0.621 0.645 0.512
34 O 0.379 0.988 0.855
35 O 0.640 0.411 0.911
36 O 0.275 0.234 0.215
37 O 0.038 0.411 0.911
38 O 0.360 0.589 0.089
39 O 0.964 0.147 0.925
40 O 0.221 0.645 0.512

Summary:
density	3.3	g/cm3
calculated total energy	-10.22	eV/atom